[1]
{"formula": "BaGe4As7", "functional": "PBE-GGA", "state": "optimized geometry", "magnetic_moment_mub_per_atom": 0.00, "density_g_cm3": 5.3, "space_group": "No. 31", "delta_e_f_ev_per_atom": -0.114, "cell": [[6.3798, 0.0000, 0.0000], [0.0000, 6.5429, 0.0000], [0.0000, 0.0000, 14.3192]], "species": ["Ge", "Ge", "As", "As", "Ge", "Ge", "As", "As", "Ba", "As", "Ge", "As", "As", "As", "Ge", "Ba", "As", "As", "As", "Ge", "As", "As", "Ge", "As"], "fractional_positions": [[0.1060, 0.3208, 0.3817], [0.0959, 0.8202, 0.2525], [0.4475, 0.3292, 0.0950], [0.9912, 0.6485, 0.8988], [0.6060, 0.6792, 0.1183], [0.1060, 0.3208, 0.6183], [0.9422, 0.0986, 0.5000], [0.9892, 0.1842, 0.2298], [0.4529, 0.8489, 0.5000], [0.9892, 0.1842, 0.7702], [0.5959, 0.1798, 0.2475], [0.4475, 0.3292, 0.9050], [0.9475, 0.6708, 0.5950], [0.4892, 0.8158, 0.7298], [0.5959, 0.1798, 0.7525], [0.9529, 0.1511, 0.0000], [0.4892, 0.8158, 0.2702], [0.9475, 0.6708, 0.4050], [0.4912, 0.3515, 0.3988], [0.6060, 0.6792, 0.8817], [0.9912, 0.6485, 0.1012], [0.4912, 0.3515, 0.6012], [0.0959, 0.8202, 0.7475], [0.4422, 0.9014, 0.0000]]}

***

[2]
{"formula": "LaPt2Pb", "functional": "PBE-GGA", "state": "optimized geometry", "magnetic_moment_mub_per_atom": 0.00, "density_g_cm3": 12.2, "space_group": "No. 12", "delta_e_f_ev_per_atom": -0.654, "cell": [[4.3125, -0.0298, 0.0181], [2.1898, 3.7153, 0.0181], [2.1622, 1.2255, 6.2515]], "species": ["Pb", "Pt", "La", "Pt"], "fractional_positions": [[0.2500, 0.2500, 0.2500], [0.5079, 0.5079, 0.4743], [0.7500, 0.7500, 0.7500], [0.9921, 0.9921, 0.0257]]}

***

[3]
{"formula": "TbGdBeCo", "functional": "PBE-GGA", "state": "optimized geometry", "magnetic_moment_mub_per_atom": 1.72, "density_g_cm3": 8.2, "space_group": "No. 216", "delta_e_f_ev_per_atom": 0.004, "cell": [[-3.6590, -2.7012, -1.5378], [0.8168, -4.4344, -1.6488], [-1.4119, -3.8100, 2.5574]], "species": ["Be", "Gd", "Tb", "Co"], "fractional_positions": [[0.0000, 0.0000, 0.0000], [0.7500, 0.7500, 0.7500], [0.2500, 0.2500, 0.2500], [0.5000, 0.5000, 0.5000]]}

***

[4]
{"formula": "La3NdZn2", "functional": "PBE-GGA", "state": "optimized geometry", "magnetic_moment_mub_per_atom": 0.00, "density_g_cm3": 6.4, "space_group": "No. 123", "delta_e_f_ev_per_atom": -0.205, "cell": [[-0.0633, -2.8212, 2.4963], [3.7644, 0.0461, 0.1475], [-0.4734, 8.3846, 9.4639]], "species": ["La", "La", "Nd", "Zn", "Zn", "La"], "fractional_positions": [[0.0000, 0.0000, 0.2924], [0.0000, 0.0000, 0.0000], [0.5000, 0.5000, 0.5000], [0.5000, 0.5000, 0.1489], [0.5000, 0.5000, 0.8511], [0.0000, 0.0000, 0.7076]]}

***

[5]
{"formula": "ReBiB2Ru", "functional": "PBE-GGA", "state": "optimized geometry", "magnetic_moment_mub_per_atom": 0.71, "density_g_cm3": 9.3, "space_group": "No. 123", "delta_e_f_ev_per_atom": 1.598, "cell": [[4.0560, 0.0000, 0.0000], [0.0000, 5.6313, 0.0000], [0.0000, 0.0000, 4.0560]], "species": ["B", "Ru", "Bi", "B", "Re"], "fractional_positions": [[0.0000, 0.0000, 0.5000], [0.0000, 0.0000, 0.0000], [0.0000, 0.5000, 0.0000], [0.5000, 0.0000, 0.0000], [0.5000, 0.5000, 0.5000]]}

***

[6]
{"formula": "NaAc12Ni6", "functional": "PBE-GGA", "state": "optimized geometry", "magnetic_moment_mub_per_atom": 0.00, "density_g_cm3": 8.1, "space_group": "No. 204", "delta_e_f_ev_per_atom": -0.171, "cell": [[8.8379, 0.0000, -3.1247], [-4.4189, 7.6538, -3.1247], [0.0000, 0.0000, 9.3740]], "species": ["Ac", "Ni", "Ac", "Ni", "Ac", "Ac", "Ac", "Ac", "Ac", "Ni", "Ni", "Ac", "Ac", "Ac", "Ni", "Ni", "Ac", "Na", "Ac"], "fractional_positions": [[0.8151, 0.6823, 0.4974], [0.5000, 0.1160, 0.6160], [0.6823, 0.4974, 0.8151], [0.6160, 0.5000, 0.1160], [0.3177, 0.5026, 0.1849], [0.5026, 0.1849, 0.3177], [0.6823, 0.8672, 0.1849], [0.1849, 0.3177, 0.5026], [0.1849, 0.6823, 0.8672], [0.5000, 0.8840, 0.3840], [0.1160, 0.6160, 0.5000], [0.1328, 0.8151, 0.3177], [0.3177, 0.1328, 0.8151], [0.8672, 0.1849, 0.6823], [0.8840, 0.3840, 0.5000], [0.3840, 0.5000, 0.8840], [0.8151, 0.3177, 0.1328], [0.0000, 0.0000, 0.0000], [0.4974, 0.8151, 0.6823]]}

***

[7]
{"formula": "AlTcH2", "functional": "PBE-GGA", "state": "optimized geometry", "dft_energy_ev_per_atom": -5.058, "magnetic_moment_mub_per_atom": 0.00, "density_g_cm3": 5.8, "space_group": "No. 122", "cell": [[-2.0683, -0.9409, 3.0501], [3.1857, -0.3814, 2.0426], [0.2953, 4.1793, 3.8609]], "species": ["H", "Al", "H", "Tc", "Al", "H", "Tc", "H"], "fractional_positions": [[0.3750, 0.3384, 0.7500], [0.2500, 0.7500, 0.5000], [0.6616, 0.1250, 0.2500], [0.0000, 0.0000, 0.0000], [0.5000, 0.5000, 0.0000], [0.8750, 0.9116, 0.7500], [0.7500, 0.2500, 0.5000], [0.0884, 0.6250, 0.2500]]}

***

[8]
{"formula": "Ac15TbNd4", "functional": "PBE-GGA", "state": "optimized geometry", "magnetic_moment_mub_per_atom": 0.00, "density_g_cm3": 8.1, "space_group": "No. 123", "delta_e_f_ev_per_atom": 0.027, "cell": [[-1.2812, 2.4371, 4.8058], [-4.6375, -3.0141, 0.2922], [13.6572, -19.6914, 13.6270]], "species": ["Ac", "Ac", "Ac", "Ac", "Ac", "Ac", "Ac", "Ac", "Ac", "Ac", "Ac", "Nd", "Ac", "Ac", "Nd", "Tb", "Ac", "Nd", "Nd", "Ac"], "fractional_positions": [[0.0000, 0.5000, 0.9011], [0.0000, 0.5000, 0.5000], [0.5000, 0.0000, 0.2993], [0.5000, 0.5000, 0.1991], [0.5000, 0.0000, 0.9011], [0.5000, 0.5000, 0.8009], [0.5000, 0.5000, 0.0000], [0.5000, 0.0000, 0.0989], [0.0000, 0.5000, 0.2993], [0.5000, 0.5000, 0.3996], [0.5000, 0.0000, 0.5000], [0.0000, 0.0000, 0.6004], [0.5000, 0.5000, 0.6004], [0.5000, 0.0000, 0.7007], [0.0000, 0.0000, 0.3996], [0.0000, 0.0000, 0.0000], [0.0000, 0.5000, 0.0989], [0.0000, 0.0000, 0.1990], [0.0000, 0.0000, 0.8010], [0.0000, 0.5000, 0.7007]]}

***

[9]
{"formula": "Ac8SbPb5", "functional": "PBE-GGA", "state": "optimized geometry", "magnetic_moment_mub_per_atom": 0.00, "density_g_cm3": 9.1, "space_group": "No. 82", "e_form_raw_mev_per_atom": -632, "cell": [[8.3975, 0.0000, -2.9254], [-4.1719, 7.2643, -2.9834], [-0.0536, 0.0000, 8.8923]], "species": ["Pb", "Pb", "Pb", "Ac", "Ac", "Ac", "Ac", "Pb", "Ac", "Ac", "Ac", "Sb", "Ac", "Pb"], "fractional_positions": [[0.0002, 0.3743, 0.1240], [0.8760, 0.8763, 0.2503], [0.3741, 0.1237, 0.9998], [0.6227, 0.8868, 0.8758], [0.2641, 0.2531, 0.3773], [0.1242, 0.7469, 0.0110], [0.7627, 0.2506, 0.3754], [0.7497, 0.6257, 0.6259], [0.4879, 0.6127, 0.2373], [0.1248, 0.7494, 0.5121], [0.9890, 0.1132, 0.7359], [0.2500, 0.5000, 0.7500], [0.6246, 0.3873, 0.8752], [0.5000, 0.0000, 0.5000]]}

***

[10]
{"formula": "Ce6ReO12", "functional": "PBE-GGA", "state": "optimized geometry", "magnetic_moment_mub_per_atom": 0.06, "density_g_cm3": 7.1, "space_group": "No. 148", "e_form_raw_mev_per_atom": -3105, "cell": [[6.6676, -0.0174, -0.0208], [-1.0280, 6.5879, -0.0208], [-1.0280, -1.1977, 6.4782]], "species": ["O", "Ce", "O", "Ce", "Re", "O", "O", "Ce", "O", "O", "O", "O", "Ce", "O", "Ce", "Ce", "O", "O", "O"], "fractional_positions": [[0.0511, 0.6980, 0.9357], [0.6003, 0.2925, 0.1365], [0.5627, 0.4094, 0.8233], [0.7075, 0.8635, 0.3997], [0.0000, 0.0000, 0.0000], [0.9489, 0.3020, 0.0643], [0.0643, 0.9489, 0.3020], [0.8635, 0.3997, 0.7075], [0.1767, 0.4373, 0.5906], [0.6980, 0.9357, 0.0511], [0.3020, 0.0643, 0.9489], [0.5906, 0.1767, 0.4373], [0.2925, 0.1365, 0.6003], [0.4373, 0.5906, 0.1767], [0.1365, 0.6003, 0.2925], [0.3997, 0.7075, 0.8635], [0.4094, 0.8233, 0.5627], [0.8233, 0.5627, 0.4094], [0.9357, 0.0511, 0.6980]]}

***

[11]
{"formula": "SrCo", "functional": "PBE-GGA", "state": "optimized geometry", "magnetic_moment_mub_per_atom": 0.61, "density_g_cm3": 4.2, "space_group": "No. 164", "delta_e_f_ev_per_atom": 0.406, "cell": [[-2.2715, -2.5171, 1.8729], [2.3653, -1.2413, -2.8050], [6.4401, -1.3323, 6.0201]], "species": ["Co", "Sr", "Co", "Sr"], "fractional_positions": [[0.6667, 0.3333, 0.1511], [0.6667, 0.3333, 0.8341], [0.0000, 0.0000, 0.0989], [0.0000, 0.0000, 0.4159]]}

***

[12]
{"formula": "Mn2FeBi", "functional": "PBE-GGA", "state": "optimized geometry", "magnetic_moment_mub_per_atom": 2.31, "density_g_cm3": 8.7, "space_group": "No. 122", "delta_e_f_ev_per_atom": 0.780, "cell": [[-2.8797, -2.3920, -1.1140], [1.6322, -0.3190, -3.5341], [4.3573, -8.7337, 0.6424]], "species": ["Bi", "Bi", "Mn", "Fe", "Mn", "Mn", "Fe", "Mn"], "fractional_positions": [[0.7500, 0.2500, 0.5000], [0.0000, 0.0000, 0.0000], [0.3750, 0.3930, 0.7500], [0.2500, 0.7500, 0.5000], [0.6070, 0.1250, 0.2500], [0.1430, 0.6250, 0.2500], [0.5000, 0.5000, 0.0000], [0.8750, 0.8570, 0.7500]]}